(1)
Below is an optimized crystal structure of TcTe2Ir, with properties calculated at the PBE level.

Cell and atoms, written as POSCAR:
```
TcTe2Ir
1.0
-0.6233 3.7292 2.4529
-1.1424 0.9849 4.2470
5.0221 0.6381 2.4291
Ir Tc Te
1 1 2
direct
0.7500 0.7500 0.7500
0.2500 0.2500 0.2500
0.9926 0.9926 0.0064
0.5074 0.5074 0.4936
```

Symmetry: C2/m (12)
Formation energy from raw total energies, meV/atom: 418

(2)
Below is an optimized crystal structure of TcTe2Ir, with properties calculated at the PBE level.

Cell and atoms, written as POSCAR:
```
TcTe2Ir
1.0
-2.9866 4.6938 -2.6562
-5.1566 -1.7600 2.8843
-1.3454 1.9381 1.7306
Ir Tc Te
1 1 2
direct
0.5000 0.0000 0.5000
0.0000 0.5000 0.5000
0.0000 0.0000 0.0000
0.5000 0.5000 0.0000
```

Symmetry: C2/m (12)
Formation energy from raw total energies, meV/atom: 691

(3)
Below is an optimized crystal structure of Tc3TeIr, with properties calculated at the PBE level.

Cell and atoms, written as POSCAR:
```
Tc3TeIr
1.0
4.7425 0.0000 0.0000
0.0000 4.7425 0.0000
0.0000 0.0000 4.7425
Ir Te Tc
1 1 3
direct
0.0000 0.0000 0.0000
0.5000 0.5000 0.5000
0.0000 0.5000 0.0000
0.0000 0.0000 0.5000
0.5000 0.0000 0.0000
```

Symmetry: Pm-3m (221)
Formation energy from raw total energies, meV/atom: 1599

(4)
Below is an optimized crystal structure of TcTe2Ir, with properties calculated at the PBE level.

Cell and atoms, written as POSCAR:
```
TcTe2Ir
1.0
-3.1513 -2.1133 9.4824
-3.9727 -4.8411 8.0680
-1.0069 -4.4377 9.1436
Ir Tc Te
1 1 2
direct
0.4920 0.4920 0.4920
0.7563 0.7563 0.7563
0.0253 0.0253 0.0253
0.2264 0.2264 0.2264
```

Symmetry: R3m (160)
Formation energy from raw total energies, meV/atom: 348

(5)
Below is an optimized crystal structure of TcTeIr, with properties calculated at the PBE level.

Cell and atoms, written as POSCAR:
```
TcTeIr
1.0
-2.7060 1.0325 -0.5647
-1.3098 -4.0137 -1.0621
-1.1376 -2.1035 9.3522
Ir Te Tc
2 2 2
direct
0.5819 0.2500 0.6632
0.4181 0.7500 0.3368
0.3350 0.2500 0.1690
0.6650 0.7500 0.8310
0.9635 0.2500 0.4275
0.0365 0.7500 0.5725
```

Symmetry: P2_1/m (11)
Formation energy from raw total energies, meV/atom: -39

(6)
Below is an optimized crystal structure of TcTeIr, with properties calculated at the PBE level.

Cell and atoms, written as POSCAR:
```
TcTeIr
1.0
-3.4166 4.8682 1.8180
-5.1764 3.4424 -0.1803
-1.6837 -1.0883 2.2592
Ir Tc Te
1 1 1
direct
0.9793 0.9793 0.0207
0.3442 0.3442 0.6558
0.6765 0.6765 0.3235
```

Symmetry: I4mm (107)
Formation energy from raw total energies, meV/atom: 443

(7)
Below is an optimized crystal structure of TcTeIr, with properties calculated at the PBE level.

Cell and atoms, written as POSCAR:
```
TcTeIr
1.0
9.4677 0.0000 -0.0065
0.0000 2.9722 0.0000
-0.7832 0.0000 8.7398
Ir Te Tc
4 4 4
direct
0.5443 0.0000 0.5232
0.5443 0.5000 0.0232
0.1818 0.0000 0.3265
0.1818 0.5000 0.8265
0.0356 0.0000 0.5890
0.0356 0.5000 0.0890
0.7017 0.0000 0.8022
0.7017 0.5000 0.3022
0.3237 0.0000 0.0618
0.3237 0.5000 0.5618
0.4034 0.0000 0.7905
0.4034 0.5000 0.2905
```

Symmetry: Cm (8)
Formation energy from raw total energies, meV/atom: 103

(8)
Below is an optimized crystal structure of TcTe2Ir, with properties calculated at the PBE level.

Cell and atoms, written as POSCAR:
```
TcTe2Ir
1.0
-2.3974 -0.0288 2.3671
-1.9688 -4.8827 -2.0534
1.1181 -5.3225 1.0677
Ir Tc Te
1 1 2
direct
0.5000 0.5000 0.5000
0.0000 0.0000 0.5000
0.0000 0.0000 0.0000
0.5000 0.5000 0.0000
```

Symmetry: P2/m (10)
Formation energy from raw total energies, meV/atom: 406

(9)
Below is an optimized crystal structure of Tc4TeIr, with properties calculated at the PBE level.

Cell and atoms, written as POSCAR:
```
Tc4TeIr
1.0
-0.0896 -4.1097 3.1685
-3.4119 -0.1912 3.9063
-3.9733 -3.3339 -0.1858
Tc Te Ir
4 1 1
direct
0.6272 0.6272 0.1183
0.6272 0.1183 0.6272
0.6272 0.6272 0.6272
0.1183 0.6272 0.6272
0.2500 0.2500 0.2500
0.0000 0.0000 0.0000
```

Symmetry: F-43m (216)
Formation energy from raw total energies, meV/atom: 664

(10)
Below is an optimized crystal structure of TcTe2Ir, with properties calculated at the PBE level.

Cell and atoms, written as POSCAR:
```
TcTe2Ir
1.0
4.1277 0.0000 0.0000
0.0000 4.1283 -0.0014
0.0000 -0.0069 6.3707
Ir Tc Te
1 1 2
direct
0.0000 0.3750 0.6250
0.5000 0.8750 0.6250
0.0000 0.8756 0.8772
0.5000 0.3744 0.3728
```

Symmetry: Pm (6)
Formation energy from raw total energies, meV/atom: -29

(11)
Below is an optimized crystal structure of TcTe2Ir, with properties calculated at the PBE level.

Cell and atoms, written as POSCAR:
```
TcTe2Ir
1.0
3.2595 0.0000 0.0000
0.0000 3.2595 0.0000
0.0000 0.0000 8.3170
Ir Tc Te
1 1 2
direct
0.0000 0.0000 0.5089
0.5000 0.5000 0.7351
0.0000 0.0000 0.9101
0.5000 0.5000 0.3459
```

Symmetry: P4mm (99)
Formation energy from raw total energies, meV/atom: 211

(12)
Below is an optimized crystal structure of TcTe2Ir, with properties calculated at the PBE level.

Cell and atoms, written as POSCAR:
```
TcTe2Ir
1.0
-2.6449 -7.2821 4.5109
-1.7235 -8.7947 0.2350
4.4132 7.5442 -1.9955
Ir Tc Te
1 1 2
direct
0.5609 0.5609 0.0000
0.1889 0.6889 0.5000
0.9795 0.9795 0.0000
0.7707 0.2707 0.5000
```

Symmetry: Imm2 (44)
Formation energy from raw total energies, meV/atom: 307

(13)
Below is an optimized crystal structure of TcTe2Ir, with properties calculated at the PBE level.

Cell and atoms, written as POSCAR:
```
TcTe2Ir
1.0
-2.8643 1.4896 0.0303
-1.7628 -3.4074 0.8686
0.7770 1.3540 6.8885
Ir Tc Te
1 1 2
direct
0.0000 0.0000 0.5172
0.5000 0.5000 0.7302
0.0000 0.0000 0.8905
0.5000 0.5000 0.3622
```

Symmetry: Pmm2 (25)
Formation energy from raw total energies, meV/atom: 203

(14)
Below is an optimized crystal structure of TcTeIr, with properties calculated at the PBE level.

Cell and atoms, written as POSCAR:
```
TcTeIr
1.0
2.9514 -0.0003 -0.1767
1.4736 4.3682 -0.1595
0.5207 0.5450 9.6078
Ir Te Tc
2 2 2
direct
0.0917 0.8239 0.6801
0.9083 0.1761 0.3199
0.6333 0.7179 0.1676
0.3667 0.2821 0.8324
0.6380 0.7235 0.4629
0.3620 0.2765 0.5371
```

Symmetry: P-1 (2)
Formation energy from raw total energies, meV/atom: 90

(15)
Below is an optimized crystal structure of TcTeIr, with properties calculated at the PBE level.

Cell and atoms, written as POSCAR:
```
TcTeIr
1.0
-1.4839 -3.6279 2.8900
3.3574 -2.1065 2.8296
-2.1032 4.2561 -1.0852
Ir Tc Te
1 1 1
direct
0.9886 0.9886 0.0000
0.3437 0.3437 0.0000
0.6677 0.6677 0.0000
```

Symmetry: Imm2 (44)
Formation energy from raw total energies, meV/atom: 572

(16)
Below is an optimized crystal structure of TcTe2Ir, with properties calculated at the PBE level.

Cell and atoms, written as POSCAR:
```
TcTe2Ir
1.0
1.8994 0.0000 8.8811
-0.9497 1.6449 8.8811
-0.9497 -1.6449 8.8811
Ir Te Tc
1 2 1
direct
0.0000 0.0000 0.0000
0.9050 0.9050 0.9050
0.0950 0.0950 0.0950
0.5000 0.5000 0.5000
```

Symmetry: R-3m (166)
Formation energy from raw total energies, meV/atom: 517

(17)
Below is an optimized crystal structure of TcTe2Ir, with properties calculated at the PBE level.

Cell and atoms, written as POSCAR:
```
TcTe2Ir
1.0
-7.9691 0.8872 1.8255
-7.4018 -2.2431 2.7942
-6.6560 0.2857 4.8210
Ir Tc Te
1 1 2
direct
0.2500 0.2500 0.2500
0.7500 0.7500 0.7500
0.0013 0.0013 0.0013
0.4987 0.4987 0.4987
```

Symmetry: R-3m (166)
Formation energy from raw total energies, meV/atom: 398

(18)
Below is an optimized crystal structure of TcTe2Ir, with properties calculated at the PBE level.

Cell and atoms, written as POSCAR:
```
TcTe2Ir
1.0
-2.7936 -0.5474 -1.4396
-1.3095 -3.5553 3.8928
-1.8926 3.3313 2.4059
Ir Tc Te
1 1 2
direct
0.5000 0.0000 0.5000
0.0000 0.5000 0.5000
0.0000 0.0000 0.0000
0.5000 0.5000 0.0000
```

Symmetry: Pmmm (47)
Formation energy from raw total energies, meV/atom: 829

(19)
Below is an optimized crystal structure of TcTe2Ir, with properties calculated at the PBE level.

Cell and atoms, written as POSCAR:
```
TcTe2Ir
1.0
-1.0987 2.7232 -1.0641
-1.5338 -1.4163 2.3230
5.1136 4.4404 6.0836
Ir Tc Te
1 1 2
direct
0.5000 0.5000 0.2500
0.5000 0.5000 0.7500
0.0000 0.0000 0.9951
0.0000 0.0000 0.5049
```

Symmetry: Cmmm (65)
Formation energy from raw total energies, meV/atom: 861

(20)
Below is an optimized crystal structure of TcTe2Ir, with properties calculated at the PBE level.

Cell and atoms, written as POSCAR:
```
TcTe2Ir
1.0
3.3907 0.0000 0.0000
0.0000 3.3907 0.0000
0.0000 0.0000 6.5106
Ir Tc Te
1 1 2
direct
0.5000 0.5000 0.2500
0.5000 0.5000 0.7500
0.0000 0.0000 0.9996
0.0000 0.0000 0.5004
```

Symmetry: P4/mmm (123)
Formation energy from raw total energies, meV/atom: 454

(21)
Below is an optimized crystal structure of TcTe3Ir, with properties calculated at the PBE level.

Cell and atoms, written as POSCAR:
```
TcTe3Ir
1.0
-0.2349 4.8276 1.5783
-2.1741 1.3324 -4.3989
-4.5902 -0.8781 2.0027
Ir Te Tc
1 3 1
direct
0.5000 0.5000 0.5000
0.0000 0.5000 0.0000
0.0000 0.0000 0.5000
0.5000 0.0000 0.0000
0.0000 0.0000 0.0000
```

Symmetry: Pm-3m (221)
Formation energy from raw total energies, meV/atom: 1226

(22)
Below is an optimized crystal structure of Th6Tc2Te3Ir, with properties calculated at the PBE level.

Cell and atoms, written as POSCAR:
```
Th6Tc2Te3Ir
1.0
-1.2948 3.7918 1.2364
-8.5403 -3.0801 0.5024
5.1123 -3.1768 7.9858
Th Tc Te Ir
6 2 3 1
direct
0.3423 0.8856 0.6846
0.6776 0.5561 0.3552
0.6577 0.1144 0.3154
0.0139 0.2268 0.0278
0.9861 0.7732 0.9722
0.3224 0.4439 0.6448
0.8358 0.6694 0.6717
0.1642 0.3306 0.3283
0.5000 0.5000 0.0000
0.8340 0.1665 0.6680
0.1660 0.8335 0.3320
0.5000 0.0000 0.0000
```

Symmetry: C2/m (12)
Formation energy from raw total energies, meV/atom: -796

(23)
Below is an optimized crystal structure of Th6TcTe3Ir2, with properties calculated at the PBE level.

Cell and atoms, written as POSCAR:
```
Th6TcTe3Ir2
1.0
4.1981 0.0000 0.0000
0.0000 9.0946 -0.1548
-2.0991 -3.1260 9.2930
Th Tc Te Ir
6 1 3 2
direct
0.3470 0.8931 0.6940
0.6767 0.5556 0.3534
0.6530 0.1069 0.3060
0.0093 0.2185 0.0187
0.9907 0.7815 0.9813
0.3233 0.4444 0.6466
0.5000 0.0000 0.0000
0.5000 0.5000 0.0000
0.8327 0.1674 0.6655
0.1673 0.8326 0.3345
0.8325 0.6652 0.6650
0.1675 0.3348 0.3350
```

Symmetry: C2/m (12)
Formation energy from raw total energies, meV/atom: -980

(24)
Below is an optimized crystal structure of Th8Tc2Ir, with properties calculated at the PBE level.

Cell and atoms, written as POSCAR:
```
Th8Tc2Ir
1.0
6.2116 -0.0445 -1.1142
-2.1566 6.7860 -3.2425
-0.2273 -0.5011 7.8046
Th Tc Ir
8 2 1
direct
0.5958 0.3678 0.1046
0.5958 0.1046 0.3678
0.1637 0.3535 0.3535
0.9785 0.1904 0.7835
0.9785 0.7835 0.1904
0.8003 0.6483 0.6483
0.3654 0.9033 0.6478
0.3654 0.6478 0.9033
0.4776 0.7067 0.3180
0.4776 0.3180 0.7067
0.2012 0.0101 0.0101
```

Energy relative to the elements, eV per formula unit: -1.49
Symmetry: Cm (8)

(25)
Below is an optimized crystal structure of Th2TcIr, with properties calculated at the PBE level.

Cell and atoms, written as POSCAR:
```
Th2TcIr
1.0
-0.3835 3.7088 0.7970
-3.2826 1.7839 -0.7610
-4.1736 -0.1916 8.0030
Ir Tc Th
1 1 2
direct
0.5000 0.5000 0.5000
0.0000 0.0000 0.0000
0.0974 0.0974 0.7079
0.9026 0.9026 0.2921
```

Energy relative to the elements, eV per formula unit: 0.97
Symmetry: R-3m (166)

(26)
Below is an optimized crystal structure of Th2TcIr, with properties calculated at the PBE level.

Cell and atoms, written as POSCAR:
```
Th2TcIr
1.0
-0.9348 3.1065 -1.6176
-1.4782 -1.8677 -2.7327
-6.0738 -0.0862 3.3446
Ir Tc Th
1 1 2
direct
0.5000 0.5000 0.0000
0.5000 0.5000 0.5000
0.0000 0.0000 0.7529
0.0000 0.0000 0.2471
```

Energy relative to the elements, eV per formula unit: -1.64
Symmetry: P4/mmm (123)

(27)
Below is an optimized crystal structure of YThTcIr, with properties calculated at the PBE level.

Cell and atoms, written as POSCAR:
```
YThTcIr
1.0
4.9545 0.0000 0.0000
2.4772 4.2907 0.0000
2.4772 1.4302 4.0453
Y Ir Tc Th
1 1 1 1
direct
0.2500 0.2500 0.2500
0.0000 0.0000 0.0000
0.5000 0.5000 0.5000
0.7500 0.7500 0.7500
```

Energy relative to the elements, eV per formula unit: -1.64
Symmetry: F-43m (216)

(28)
Below is an optimized crystal structure of TiTcIr2, with properties calculated at the PBE level.

Cell and atoms, written as POSCAR:
```
TiTcIr2
1.0
0.4639 -3.2811 -2.9314
-2.2753 -3.7600 0.5098
-3.3090 -0.9761 -2.7698
Ir Tc Ti
2 1 1
direct
0.2500 0.2500 0.2500
0.7500 0.7500 0.7500
0.5000 0.5000 0.5000
0.0000 0.0000 0.0000
```

Energy relative to the elements, eV per formula unit: -0.35
Symmetry: Fm-3m (225)

| no. | final energy (eV for the cell shown) |
| --- | --- |
| 1 | -23.8 |
| 2 | -22.7 |
| 3 | -35.1 |
| 4 | -24.1 |
| 5 | -45.0 |
| 6 | -21.0 |
| 7 | -88.2 |
| 8 | -23.9 |
| 9 | -49.5 |
| 10 | -25.6 |
| 11 | -24.7 |
| 12 | -24.3 |
| 13 | -24.7 |
| 14 | -44.2 |
| 15 | -20.7 |
| 16 | -23.4 |
| 17 | -23.9 |
| 18 | -22.2 |
| 19 | -22.1 |
| 20 | -23.7 |
| 21 | -22.5 |
| 22 | -93.1 |
| 23 | -93.8 |
| 24 | -90.4 |
| 25 | -33.1 |
| 26 | -35.7 |
| 27 | -34.8 |
| 28 | -36.3 |